Record 1
## MnVS4 (PBE)

Data for a relaxed MnVS4 crystal.

Cell: 7.1475 7.1475 5.5426 Å, 111.42 111.42 26.12°
Fractional coordinates of all 6 atoms:
Mn: 0.0000 0.0000 0.0000
V: 0.5000 0.5000 0.5000
S: 0.1115 0.1115 0.4347
S: 0.3903 0.3903 0.0556
S: 0.6097 0.6097 0.9444
S: 0.8885 0.8885 0.5653

Results
space-group type	C2/m
VASP energy	-6.479	eV/atom
volume	115.6	Å³ per cell

---

Record 2
## MnV3S (PBE)

Data for a relaxed MnV3S crystal.

Cell: 4.3197 4.3197 4.3197 Å, 90.00 90.00 90.00°
Fractional coordinates of all 5 atoms:
Mn: 0.0000 0.0000 0.0000
V: 0.0000 0.0000 0.5000
V: 0.0000 0.5000 0.0000
V: 0.5000 0.0000 0.0000
S: 0.5000 0.5000 0.5000

Results
space-group type	Pm-3m
VASP energy	-7.301	eV/atom
volume	80.6	Å³ per cell

---

Record 3
## MnVS (PBE)

Data for a relaxed MnVS crystal.

Cell: 3.7939 3.7939 2.8678 Å, 90.00 90.00 120.00°
Fractional coordinates of all 3 atoms:
Mn: 0.0000 0.0000 0.0000
V: 0.6667 0.3333 0.5000
S: 0.3333 0.6667 0.0000

Results
space-group type	P-6m2
VASP energy	-7.778	eV/atom
volume	35.7	Å³ per cell

---

Record 4
## MnVS (PBE)

Data for a relaxed MnVS crystal.

Cell: 3.0758 3.0758 8.9204 Å, 90.00 90.00 90.00°
Fractional coordinates of all 6 atoms:
Mn: 0.2500 0.2500 0.0560
Mn: 0.7500 0.7500 0.9440
V: 0.2500 0.2500 0.7786
V: 0.7500 0.7500 0.2214
S: 0.2500 0.2500 0.3307
S: 0.7500 0.7500 0.6693

Results
space-group type	P4/nmm
VASP energy	-7.905	eV/atom
volume	84.4	Å³ per cell

---

Record 5
## MnVS (PBE)

Data for a relaxed MnVS crystal.

Cell: 6.0234 6.0234 6.0234 Å, 150.77 150.77 41.82°
Fractional coordinates of all 3 atoms:
Mn: 0.0000 0.0000 0.0000
V: 0.8008 0.8008 0.0000
S: 0.2149 0.2149 0.0000

Results
space-group type	I4mm
VASP energy	-7.412	eV/atom
volume	52.0	Å³ per cell

---

Record 6
## MnVS3 (PBE)

Data for a relaxed MnVS3 crystal.

Cell: 4.5235 4.5235 4.5235 Å, 90.00 90.00 90.00°
Fractional coordinates of all 5 atoms:
Mn: 0.0000 0.0000 0.0000
V: 0.5000 0.5000 0.5000
S: 0.0000 0.0000 0.5000
S: 0.0000 0.5000 0.0000
S: 0.5000 0.0000 0.0000

Results
space-group type	Pm-3m
VASP energy	-5.933	eV/atom
volume	92.6	Å³ per cell

---

Record 7
## Mn2VS4 (PBE)

Data for a relaxed Mn2VS4 crystal.

Cell: 6.0490 6.0490 11.7797 Å, 90.00 90.00 147.34°
Fractional coordinates of all 14 atoms:
Mn: 0.1295 0.8705 0.5705
Mn: 0.1295 0.8705 0.9295
Mn: 0.8705 0.1295 0.0705
Mn: 0.8705 0.1295 0.4295
V: 0.3761 0.6239 0.7500
V: 0.6239 0.3761 0.2500
S: 0.0266 0.9734 0.7500
S: 0.2206 0.7794 0.1197
S: 0.2206 0.7794 0.3803
S: 0.5000 0.5000 0.0000
S: 0.5000 0.5000 0.5000
S: 0.7794 0.2206 0.6197
S: 0.7794 0.2206 0.8803
S: 0.9734 0.0266 0.2500

Results
space-group type	Cmcm
VASP energy	-6.845	eV/atom
volume	232.6	Å³ per cell

---

Record 8
## MnV3S (PBE)

Data for a relaxed MnV3S crystal.

Cell: 4.2925 4.2925 4.2925 Å, 90.00 90.00 90.00°
Fractional coordinates of all 5 atoms:
Mn: 0.0000 0.0000 0.0000
V: 0.0000 0.5000 0.5000
V: 0.5000 0.0000 0.5000
V: 0.5000 0.5000 0.0000
S: 0.5000 0.5000 0.5000

Results
space-group type	Pm-3m
VASP energy	-7.955	eV/atom
volume	79.1	Å³ per cell

---

Record 9
## MnVS4 (PBE)

Data for a relaxed MnVS4 crystal.

Cell: 6.3868 4.9523 6.5864 Å, 90.00 118.95 90.00°
Fractional coordinates of all 12 atoms:
Mn: 0.0000 0.0000 0.0000
Mn: 0.0000 0.5000 0.5000
V: 0.5000 0.0000 0.0000
V: 0.5000 0.5000 0.5000
S: 0.1761 0.2019 0.3587
S: 0.1761 0.2981 0.8587
S: 0.3143 0.7041 0.1353
S: 0.3143 0.7959 0.6353
S: 0.6857 0.2041 0.3647
S: 0.6857 0.2959 0.8647
S: 0.8239 0.7019 0.1413
S: 0.8239 0.7981 0.6413

Results
space-group type	P2_1/c
VASP energy	-6.385	eV/atom
volume	182.3	Å³ per cell

---

Record 10
## MnVS3 (PBE)

Data for a relaxed MnVS3 crystal.

Cell: 4.5898 4.5898 4.5898 Å, 90.00 90.00 90.00°
Fractional coordinates of all 5 atoms:
Mn: 0.0000 0.0000 0.0000
V: 0.5000 0.5000 0.5000
S: 0.0000 0.5000 0.5000
S: 0.5000 0.0000 0.5000
S: 0.5000 0.5000 0.0000

Results
space-group type	Pm-3m
VASP energy	-6.158	eV/atom
volume	96.7	Å³ per cell

---

Record 11
## MnV3S8 (PBE)

Data for a relaxed MnV3S8 crystal.

Cell: 6.7383 6.7383 11.0548 Å, 90.00 90.00 120.00°
Fractional coordinates of all 24 atoms:
Mn: 0.3333 0.6667 0.0000
Mn: 0.6667 0.3333 0.5000
V: 0.1820 0.3640 0.7314
V: 0.1820 0.8180 0.7314
V: 0.3640 0.1820 0.2314
V: 0.6360 0.8180 0.7314
V: 0.8180 0.1820 0.2314
V: 0.8180 0.6360 0.2314
S: 0.0000 0.0000 0.3373
S: 0.0000 0.0000 0.8373
S: 0.0193 0.5096 0.8698
S: 0.1699 0.3399 0.1258
S: 0.1699 0.8301 0.1258
S: 0.3333 0.6667 0.5952
S: 0.3399 0.1699 0.6258
S: 0.4904 0.5096 0.8698
S: 0.4904 0.9807 0.8698
S: 0.5096 0.0193 0.3698
S: 0.5096 0.4904 0.3698
S: 0.6601 0.8301 0.1258
S: 0.6667 0.3333 0.0952
S: 0.8301 0.1699 0.6258
S: 0.8301 0.6601 0.6258
S: 0.9807 0.4904 0.3698

Results
space-group type	P6_3mc
VASP energy	-6.499	eV/atom
volume	434.7	Å³ per cell

---

Record 12
## MnV2S6 (PBE)

Data for a relaxed MnV2S6 crystal.

Cell: 5.6307 5.6307 9.8680 Å, 90.00 90.00 90.00°
Fractional coordinates of all 18 atoms:
Mn: 0.0000 0.0000 0.0000
Mn: 0.5000 0.5000 0.5000
V: 0.0000 0.0000 0.3462
V: 0.0000 0.0000 0.6538
V: 0.5000 0.5000 0.1538
V: 0.5000 0.5000 0.8462
S: 0.1960 0.1960 0.1694
S: 0.1960 0.1960 0.8306
S: 0.2097 0.2097 0.5000
S: 0.2903 0.7097 0.0000
S: 0.3040 0.6960 0.3306
S: 0.3040 0.6960 0.6694
S: 0.6960 0.3040 0.3306
S: 0.6960 0.3040 0.6694
S: 0.7097 0.2903 0.0000
S: 0.7903 0.7903 0.5000
S: 0.8040 0.8040 0.1694
S: 0.8040 0.8040 0.8306

Results
space-group type	P4_2/mnm
VASP energy	-6.416	eV/atom
volume	312.9	Å³ per cell